First-principles (PBE) data for crystalline Sm2Fe14B at its relaxed geometry, as listed in OQMD.

Cell lengths 8.743, 8.743, 12.044 Å; angles 90.00, 90.00, 90.00 degrees
Space group P4_2/mnm (No. 136)
Unique sites:
Sm 0.143 0.143 0.000
Sm 0.232 0.232 0.500
Fe 0.000 0.000 0.385
Fe 0.000 0.500 0.000
Fe 0.037 0.640 0.176
Fe 0.067 0.725 0.373
Fe 0.098 0.902 0.203
Fe 0.182 0.182 0.254
B 0.124 0.876 0.500

Final energy (eV per atom): -7.87

---

First-principles (PBE) data for crystalline Sm2Fe14B at its relaxed geometry, as listed in OQMD.

Cell lengths 8.743, 8.743, 12.044 Å; angles 90.00, 90.00, 90.00 degrees
Space group P4_2/mnm (No. 136)
Unique sites:
Sm 0.143 0.143 0.000
Sm 0.232 0.232 0.500
Fe 0.000 0.000 0.385
Fe 0.000 0.500 0.000
Fe 0.037 0.640 0.176
Fe 0.067 0.725 0.373
Fe 0.098 0.902 0.203
Fe 0.182 0.182 0.254
B 0.124 0.876 0.500

Final energy (eV per atom): -7.87